No. 1
This record from Alexandria via LeMat-Bulk describes an optimized crystal structure of Pr5CdPt2. The functional is PBE.

Cell and atoms, written as CIF:
```
data_Pr5CdPt2
_space_group_name_H-M_alt 'P 1'
_space_group_IT_number 1
_cell_length_a 9.016
_cell_length_b 9.016
_cell_length_c 9.016
_cell_angle_alpha 125.85
_cell_angle_beta 125.85
_cell_angle_gamma 80.13
loop_
_space_group_symop_operation_xyz
'x,y,z'
loop_
_atom_site_label
_atom_site_fract_x
_atom_site_fract_y
_atom_site_fract_z
Pr1 0.000 0.000 0.000
Pr2 0.024 0.524 0.822
Pr3 0.201 0.024 0.500
Pr4 0.299 0.799 0.822
Pr5 0.476 0.299 0.500
Pr6 0.500 0.500 0.000
Pr7 0.524 0.701 0.500
Pr8 0.701 0.201 0.178
Pr9 0.799 0.976 0.500
Pr10 0.976 0.476 0.178
Cd1 0.250 0.250 0.000
Cd2 0.750 0.750 0.000
Pt1 0.132 0.368 0.500
Pt2 0.368 0.868 0.236
Pt3 0.632 0.132 0.764
Pt4 0.868 0.632 0.500
```

Properties
The value obtained for the formation enthalpy at 0 K is -0.65 eV per atom.

No. 2
This record from Alexandria via LeMat-Bulk describes an optimized crystal structure of Cs2KTaNi. The functional is PBE.

Cell and atoms, written as CIF:
```
data_Cs2KTaNi
_space_group_name_H-M_alt 'P 1'
_space_group_IT_number 1
_cell_length_a 6.769
_cell_length_b 6.769
_cell_length_c 6.109
_cell_angle_alpha 90.00
_cell_angle_beta 90.00
_cell_angle_gamma 90.00
loop_
_space_group_symop_operation_xyz
'x,y,z'
loop_
_atom_site_label
_atom_site_fract_x
_atom_site_fract_y
_atom_site_fract_z
Cs1 0.000 0.500 0.000
Cs2 0.500 0.000 0.000
K1 0.000 0.000 0.000
Ta1 0.000 0.000 0.500
Ni1 0.500 0.500 0.500
```

Properties
The value obtained for the formation enthalpy at 0 K is 2.09 eV per atom.

No. 3
This record from Alexandria via LeMat-Bulk describes an optimized crystal structure of Dy6TeSe5. The functional is PBE.

Cell and atoms, written as CIF:
```
data_Dy6TeSe5
_space_group_name_H-M_alt 'P 1'
_space_group_IT_number 1
_cell_length_a 7.154
_cell_length_b 7.154
_cell_length_c 7.152
_cell_angle_alpha 99.65
_cell_angle_beta 99.65
_cell_angle_gamma 120.15
loop_
_space_group_symop_operation_xyz
'x,y,z'
loop_
_atom_site_label
_atom_site_fract_x
_atom_site_fract_y
_atom_site_fract_z
Dy1 0.062 0.411 0.229
Dy2 0.238 0.238 0.761
Dy3 0.411 0.062 0.229
Dy4 0.589 0.938 0.771
Dy5 0.762 0.762 0.239
Dy6 0.938 0.589 0.771
Te1 0.500 0.500 0.500
Se1 0.000 0.000 0.000
Se2 0.168 0.832 0.500
Se3 0.342 0.658 0.000
Se4 0.658 0.342 0.000
Se5 0.832 0.168 0.500
```

Properties
The uncorrected formation energy is -1.6635 eV per atom.

No. 4
This record from Alexandria via LeMat-Bulk describes an optimized crystal structure of PrNdEr2Bi4. The functional is PBE.

Cell and atoms, written as CIF:
```
data_PrNdEr2Bi4
_space_group_name_H-M_alt 'P 1'
_space_group_IT_number 1
_cell_length_a 7.848
_cell_length_b 4.543
_cell_length_c 7.864
_cell_angle_alpha 90.00
_cell_angle_beta 109.51
_cell_angle_gamma 90.00
loop_
_space_group_symop_operation_xyz
'x,y,z'
loop_
_atom_site_label
_atom_site_fract_x
_atom_site_fract_y
_atom_site_fract_z
Pr1 0.000 0.000 0.000
Nd1 0.000 0.500 0.500
Er1 0.500 0.000 0.500
Er2 0.500 0.500 0.000
Bi1 0.262 0.000 0.753
Bi2 0.262 0.500 0.255
Bi3 0.738 0.000 0.247
Bi4 0.738 0.500 0.745
```

Properties
The value obtained for the formation enthalpy at 0 K is -0.88 eV per atom.

No. 5
This record from Alexandria via LeMat-Bulk describes an optimized crystal structure of KHf2VCd. The functional is PBE.

Cell and atoms, written as CIF:
```
data_KHf2VCd
_space_group_name_H-M_alt 'P 1'
_space_group_IT_number 1
_cell_length_a 4.866
_cell_length_b 4.866
_cell_length_c 5.636
_cell_angle_alpha 90.00
_cell_angle_beta 90.00
_cell_angle_gamma 90.00
loop_
_space_group_symop_operation_xyz
'x,y,z'
loop_
_atom_site_label
_atom_site_fract_x
_atom_site_fract_y
_atom_site_fract_z
K1 0.000 0.000 0.000
Hf1 0.000 0.500 0.500
Hf2 0.500 0.000 0.500
V1 0.500 0.500 0.500
Cd1 0.500 0.500 0.000
```

Properties
The value obtained for the formation enthalpy at 0 K is 0.75 eV per atom.

No. 6
This record from Alexandria via LeMat-Bulk describes an optimized crystal structure of NaMg3Ni. The functional is PBE.

Cell and atoms, written as CIF:
```
data_NaMg3Ni
_space_group_name_H-M_alt 'P 1'
_space_group_IT_number 1
_cell_length_a 5.058
_cell_length_b 5.058
_cell_length_c 5.058
_cell_angle_alpha 90.00
_cell_angle_beta 90.00
_cell_angle_gamma 90.00
loop_
_space_group_symop_operation_xyz
'x,y,z'
loop_
_atom_site_label
_atom_site_fract_x
_atom_site_fract_y
_atom_site_fract_z
Na1 0.000 0.000 0.000
Mg1 0.000 0.000 0.500
Mg2 0.000 0.500 0.000
Mg3 0.500 0.000 0.000
Ni1 0.500 0.500 0.500
```

Properties
Its energy above the most stable polymorph in this dataset is 5.49 eV per formula unit. The value obtained for the formation enthalpy at 0 K is 1.13 eV per atom.

Please write out number 2 again, unchanged.
This record from Alexandria via LeMat-Bulk describes an optimized crystal structure of Cs2KTaNi. The functional is PBE.

Cell and atoms, written as CIF:
```
data_Cs2KTaNi
_space_group_name_H-M_alt 'P 1'
_space_group_IT_number 1
_cell_length_a 6.769
_cell_length_b 6.769
_cell_length_c 6.109
_cell_angle_alpha 90.00
_cell_angle_beta 90.00
_cell_angle_gamma 90.00
loop_
_space_group_symop_operation_xyz
'x,y,z'
loop_
_atom_site_label
_atom_site_fract_x
_atom_site_fract_y
_atom_site_fract_z
Cs1 0.000 0.500 0.000
Cs2 0.500 0.000 0.000
K1 0.000 0.000 0.000
Ta1 0.000 0.000 0.500
Ni1 0.500 0.500 0.500
```

Properties
The value obtained for the formation enthalpy at 0 K is 2.09 eV per atom.